[1]
{
  "formula": "Pm4Sm3Er2",
  "functional": "PBE-GGA",
  "state": "optimized geometry",
  "final_energy_ev_per_cell": -42.1,
  "m_tot_mub_per_cell": 0.00,
  "spacegroup": "C2/m",
  "cell": [[3.6095, 0.0000, 0.0000], [-1.8048, 7.8729, -0.3400], [0.0000, 2.9249, 10.4100]],
  "species": ["Pm", "Pm", "Pm", "Pm", "Sm", "Sm", "Sm", "Er", "Er"],
  "fractional_positions": [[0.0008, 0.0016, 0.6676], [0.6673, 0.3345, 0.1110], [0.9992, 0.9984, 0.3324], [0.3327, 0.6655, 0.8890], [0.3323, 0.6645, 0.5559], [0.6677, 0.3355, 0.4441], [0.0000, 0.0000, 0.0000], [0.6669, 0.3338, 0.7776], [0.3331, 0.6662, 0.2224]]
}

---

[2]
{
  "formula": "Th6SiSb3Se2",
  "functional": "PBE-GGA",
  "state": "optimized geometry",
  "m_tot_mub_per_cell": 0.00,
  "e_form_raw_ev_per_fu": -13.2,
  "spacegroup": "C2/m",
  "cell": [[-3.9361, 1.1932, 1.4744], [-3.2243, -0.6287, -8.0991], [0.6806, -9.3241, 2.8887]],
  "species": ["Sb", "Sb", "Sb", "Th", "Th", "Th", "Th", "Th", "Th", "Se", "Se", "Si"],
  "fractional_positions": [[0.1684, 0.8314, 0.3367], [0.8316, 0.1686, 0.6633], [0.5000, 0.5000, 0.0000], [0.6714, 0.5687, 0.3427], [0.0036, 0.2305, 0.0073], [0.3286, 0.4313, 0.6573], [0.9964, 0.7695, 0.9927], [0.6582, 0.0908, 0.3165], [0.3418, 0.9092, 0.6835], [0.8339, 0.6694, 0.6679], [0.1661, 0.3306, 0.3321], [0.5000, 0.0000, 0.0000]]
}

---

[3]
{
  "formula": "ScCoGeRh",
  "functional": "PBE-GGA",
  "state": "optimized geometry",
  "final_energy_ev_per_cell": -28.0,
  "m_tot_mub_per_cell": 1.02,
  "spacegroup": "F-43m",
  "cell": [[4.3319, 0.0000, 0.0000], [2.1660, 3.7516, 0.0000], [2.1660, 1.2505, 3.5370]],
  "species": ["Sc", "Ge", "Co", "Rh"],
  "fractional_positions": [[0.7500, 0.7500, 0.7500], [0.2500, 0.2500, 0.2500], [0.5000, 0.5000, 0.5000], [0.0000, 0.0000, 0.0000]]
}

---

[4]
{
  "formula": "La2HoIn2",
  "functional": "PBE-GGA",
  "state": "optimized geometry",
  "final_energy_ev_per_cell": -41.8,
  "m_tot_mub_per_cell": 0.00,
  "spacegroup": "P4/mbm",
  "cell": [[-3.2129, -1.1437, -1.1124], [-2.2170, -2.3108, 8.7791], [-3.5156, 8.5505, 1.3629]],
  "species": ["Ho", "Ho", "In", "In", "In", "In", "La", "La", "La", "La"],
  "fractional_positions": [[0.0000, 0.5000, 0.5000], [0.0000, 0.0000, 0.0000], [0.5000, 0.3210, 0.1790], [0.5000, 0.8210, 0.3210], [0.5000, 0.1790, 0.6790], [0.5000, 0.6790, 0.8210], [0.0000, 0.6172, 0.1172], [0.0000, 0.8828, 0.6172], [0.0000, 0.3828, 0.8828], [0.0000, 0.1172, 0.3828]]
}

---

[5]
{
  "formula": "LiHoAlCr",
  "functional": "PBE-GGA",
  "state": "optimized geometry",
  "final_energy_ev_per_cell": -19.8,
  "m_tot_mub_per_cell": 4.65,
  "spacegroup": "F-43m",
  "cell": [[4.7502, 0.0000, 0.0000], [2.3751, 4.1138, 0.0000], [2.3751, 1.3713, 3.8785]],
  "species": ["Cr", "Al", "Ho", "Li"],
  "fractional_positions": [[0.7500, 0.7500, 0.7500], [0.5000, 0.5000, 0.5000], [0.0000, 0.0000, 0.0000], [0.2500, 0.2500, 0.2500]]
}

---

[6]
{
  "formula": "Nd2DyIn3",
  "functional": "PBE-GGA",
  "state": "optimized geometry",
  "final_energy_ev_per_cell": -50.6,
  "m_tot_mub_per_cell": 0.00,
  "spacegroup": "Cmmm",
  "cell": [[-2.3781, 0.7147, -4.8274], [-6.8236, -5.1965, -0.4601], [-4.3997, 5.5132, 2.9838]],
  "species": ["Nd", "Nd", "Nd", "Nd", "In", "In", "In", "In", "In", "In", "Dy", "Dy"],
  "fractional_positions": [[0.3357, 0.3287, 0.5000], [0.6643, 0.6713, 0.5000], [0.0000, 0.0000, 0.0000], [0.0000, 0.0000, 0.5000], [0.1693, 0.6614, 0.2418], [0.8308, 0.3386, 0.2418], [0.5000, 0.0000, 0.2415], [0.8307, 0.3386, 0.7582], [0.1692, 0.6614, 0.7582], [0.5000, 0.0000, 0.7585], [0.6670, 0.6659, 0.0000], [0.3330, 0.3341, 0.0000]]
}

---

[7]
{
  "formula": "SrBeBr2",
  "functional": "PBE-GGA",
  "state": "optimized geometry",
  "m_tot_mub_per_cell": 0.00,
  "e_form_raw_ev_per_fu": -2.3,
  "spacegroup": "P4/mmm",
  "cell": [[5.0771, 0.0000, 0.0000], [0.0000, 5.0765, 0.0000], [0.0000, 0.0000, 4.2188]],
  "species": ["Br", "Br", "Sr", "Be"],
  "fractional_positions": [[0.0000, 0.0000, 0.0000], [0.5000, 0.5000, 0.0000], [0.5000, 0.0000, 0.5000], [0.0000, 0.5000, 0.5000]]
}

---

[8]
{
  "formula": "GaRe2Bi",
  "functional": "PBE-GGA",
  "state": "optimized geometry",
  "final_energy_ev_per_cell": -28.4,
  "m_tot_mub_per_cell": 0.00,
  "spacegroup": "Fm-3m",
  "cell": [[0.0000, 3.2493, 3.2493], [3.2493, 0.0000, 3.2493], [3.2493, 3.2493, 0.0000]],
  "species": ["Ga", "Re", "Re", "Bi"],
  "fractional_positions": [[0.0000, 0.0000, 0.0000], [0.2500, 0.2500, 0.2500], [0.7500, 0.7500, 0.7500], [0.5000, 0.5000, 0.5000]]
}